Below is GaCoH2BrO after structural relaxation, with properties calculated at the GGA+U level.

Geometry as POSCAR:
```
GaCoH2BrO
1.0
-3.664 -1.602 -1.801
1.969 -2.318 -1.942
1.565 -3.150 5.346
Br Ga O H Co
1 1 1 2 1
direct
0.657 0.000 0.313 Br
0.386 0.500 0.996 Ga
0.955 0.500 0.952 O
0.402 0.793 0.763 H
0.402 0.207 0.763 H
0.698 0.000 0.912 Co
```

Results
relative energy among the computed polymorphs: 0.216 eV per atom
SG: Pm (6)
total magnetization: 1.0 μB/f.u.